Entry 1:
Computed, not measured: an optimized crystal structure of NdY2Fe at the GGA-PBE level of DFT.

Energy above the lowest structure with this stoichiometry   236 meV per atom

Lattice parameters (Å, degrees): 3.5132 3.5132 32.2952 90.00 90.00 120.00
Space group R-3m (No. 166, hexagonal axes)
Asymmetric unit:
Nd1 0.0000 0.0000 0.0000 [3 per cell]
Y1 0.0000 0.0000 0.1092 [6 per cell]
Fe1 0.0000 0.0000 0.5000 [3 per cell]

Entry 2:
Computed, not measured: an optimized crystal structure of NdYFe4 at the GGA-PBE level of DFT.

Lattice parameters (Å, degrees): 7.3773 7.3773 7.3773 90.00 90.00 90.00
Space group F-43m (No. 216)
Asymmetric unit:
Nd1 0.0000 0.0000 0.0000 [4 per cell]
Y1 0.2500 0.2500 0.2500 [4 per cell]
Fe1 0.1249 0.1249 0.6249 [16 per cell]

Entry 3:
Computed, not measured: an optimized crystal structure of NdYFe at the GGA-PBE level of DFT.

Energy above the lowest structure with this stoichiometry   47 meV per atom

Lattice parameters (Å, degrees): 3.4539 3.4539 12.9709 90.00 90.00 90.00
Space group I4mm (No. 107)
Asymmetric unit:
Nd1 0.0000 0.0000 0.0000 [2 per cell]
Y1 0.0000 0.0000 0.7443 [2 per cell]
Fe1 0.0000 0.0000 0.3680 [2 per cell]

Entry 4:
Computed, not measured: an optimized crystal structure of Nd6ZnFe2 at the GGA-PBE level of DFT.

Lattice parameters (Å, degrees): 9.7240 9.8874 10.2280 90.00 90.00 90.00
Space group Immm (No. 71)
Asymmetric unit:
Nd1 0.0000 0.2053 0.2264 [8 per cell]
Nd2 0.2044 0.5000 0.1846 [8 per cell]
Nd3 0.2149 0.3163 0.5000 [8 per cell]
Zn1 0.0000 0.0000 0.0000 [2 per cell]
Zn2 0.0000 0.0000 0.5000 [2 per cell]
Fe1 0.0000 0.3850 0.0000 [4 per cell]
Fe2 0.0000 0.5000 0.3930 [4 per cell]

Entry 5:
Computed, not measured: an optimized crystal structure of Nd2ZnFe at the GGA-PBE level of DFT.

Lattice parameters (Å, degrees): 3.5892 3.5892 7.2977 90.00 90.00 90.00
Space group P4/mmm (No. 123)
Asymmetric unit:
Nd1 0.0000 0.0000 0.2339 [2 per cell]
Zn1 0.5000 0.5000 0.5000 [1 per cell]
Fe1 0.5000 0.5000 0.0000 [1 per cell]

Entry 6:
Computed, not measured: an optimized crystal structure of Nd3ZnFe at the GGA-PBE level of DFT.

Lattice parameters (Å, degrees): 5.2293 5.2293 5.2293 90.00 90.00 90.00
Space group Pm-3m (No. 221)
Asymmetric unit:
Nd1 0.0000 0.0000 0.5000 [3 per cell]
Zn1 0.5000 0.5000 0.5000 [1 per cell]
Fe1 0.0000 0.0000 0.0000 [1 per cell]

The following E_form values (in eV/atom) correspond, in order, to the records above: 0.33 0.01 0.14 0.00 0.01 0.16.
The following V values (in Å³ per cell) correspond, in order, to the records above: 345 402 155 983 94 143.
The following E_tot values (in eV for the cell shown) correspond, in order, to the records above: -74.5 -180.1 -38.6 -187.3 -19.2 -23.2.